# Fe2PtBr

A relaxed structure of Fe2PtBr (GGA-PBEsol, the Alexandria database).

Output
As for the crystal system: cubic. The calculated volume is 235 Å³/cell. The value obtained for the total energy is -6.115 eV per atom.

abc: 6.167 6.167 6.167
angles: 90.00 90.00 90.00
Space group Fm-3m (No. 225)
Asymmetric unit:
1 Fe 0.250 0.250 0.250 x8
2 Pt 0.000 0.000 0.000 x4
3 Br 0.000 0.000 0.500 x4



# FePtBr2

A relaxed structure of FePtBr2 (GGA-PBEsol, the Alexandria database).

Output
Its relative energy among the computed polymorphs is 476.9 meV/atom. As for the crystal system: orthorhombic. The calculated volume is 151 Å³/cell. The value obtained for the total energy is -4.341 eV per atom.

abc: 3.083 5.958 8.222
angles: 90.00 90.00 90.00
Space group Cmmm (No. 65)
Asymmetric unit:
1 Fe 0.000 0.000 0.000 x2
2 Pt 0.000 0.000 0.500 x2
3 Br 0.000 0.500 0.230 x4



It is found that the ρ values, taken in the order of the records, are 10.95; 9.03 g/cm³.